# SiCl (PBEsol, relaxed)
data_SiCl
_chemical_formula_sum 'Si2 Cl2'
_cell_length_a 3.076
_cell_length_b 3.665
_cell_length_c 7.511
_cell_angle_alpha 90.00
_cell_angle_beta 90.00
_cell_angle_gamma 90.00
_symmetry_space_group_name_H-M 'P m m n'
_symmetry_Int_Tables_number 59
loop_
_symmetry_equiv_pos_as_xyz
'x,y,z'
'-x,-y,-z'
'-x+1/2,-y+1/2,z'
'x+1/2,y+1/2,-z'
'x+1/2,-y,-z'
'-x+1/2,y,z'
'-x,y+1/2,-z'
'x,-y+1/2,z'
loop_
_atom_site_label
_atom_site_fract_x
_atom_site_fract_y
_atom_site_fract_z
Si1 0.250 0.250 0.058
Cl1 0.250 0.750 0.703
# VASP energy in eV per atom: -4.19
# Energy above the lowest structure with this stoichiometry in kJ/mol of atoms: 0.0
# Formation energy (no corrections) in eV per atom: -0.314